BaTl2ReMo (PBE-GGA, relaxed); V = 41.36 Å³ per atom; size of the total moment = 6.7 μB per formula unit; symmetry = No. 123; formation energy from the elements = 2.54 eV per atom
1.0
-1.116 -5.937 -1.584
4.884 -0.376 -2.030
2.160 -1.886 5.547
Mo Re Tl Ba
1 1 2 1
Direct
0.500 0.500 0.500
0.000 0.500 0.000
0.000 0.000 0.500
0.500 0.000 0.000
0.000 0.000 0.000

BaMoRh (PBE-GGA, relaxed); V = 26.15 Å³ per atom; size of the total moment = 0.0 μB per formula unit; symmetry = No. 12; formation energy from the elements = 0.23 eV per atom
1.0
8.399 0.000 -0.003
0.000 4.442 0.000
-5.783 0.000 8.415
Ba Mo Rh
4 4 4
Direct
0.835 0.000 0.059
0.165 0.000 0.941
0.835 0.500 0.559
0.165 0.500 0.441
0.553 0.000 0.640
0.447 0.000 0.360
0.553 0.500 0.140
0.447 0.500 0.860
0.682 0.000 0.277
0.318 0.000 0.723
0.682 0.500 0.777
0.318 0.500 0.223

BaMo2Rh (PBE-GGA, relaxed); V = 20.83 Å³ per atom; size of the total moment = 0.0 μB per formula unit; symmetry = No. 71; formation energy from the elements = 0.83 eV per atom
1.0
-4.594 4.352 0.219
-3.919 1.284 -4.805
2.471 -3.744 4.468
Ba Mo Rh
1 2 1
Direct
0.250 0.750 0.500
0.958 0.958 0.000
0.542 0.542 0.000
0.750 0.250 0.500

BaMo2Rh (PBE-GGA, relaxed); V = 19.64 Å³ per atom; size of the total moment = 0.0 μB per formula unit; symmetry = No. 12; formation energy from the elements = 1.06 eV per atom
1.0
5.831 0.004 -0.016
-3.206 4.870 -0.016
0.428 0.794 2.760
Ba Mo Rh
1 2 1
Direct
0.000 0.500 0.500
0.000 0.000 0.000
0.500 0.500 0.000
0.500 0.000 0.500

BaMo2Rh (PBE-GGA, relaxed); V = 23.65 Å³ per atom; size of the total moment = 0.0 μB per formula unit; symmetry = No. 12; formation energy from the elements = 0.56 eV per atom
1.0
-0.094 4.458 2.733
-2.883 4.238 1.042
-2.851 -1.731 4.929
Ba Mo Rh
1 2 1
Direct
0.250 0.250 0.250
0.036 0.036 0.873
0.464 0.464 0.627
0.750 0.750 0.750

BaMo3Rh (PBE-GGA, relaxed); V = 23.06 Å³ per atom; size of the total moment = 0.0 μB per formula unit; symmetry = No. 221; formation energy from the elements = 3.20 eV per atom
1.0
4.867 0.000 0.000
0.000 4.867 0.000
0.000 0.000 4.867
Mo Rh Ba
3 1 1
Direct
0.000 0.500 0.000
0.000 0.000 0.500
0.500 0.000 0.000
0.500 0.500 0.500
0.000 0.000 0.000

BaMoRh (PBE-GGA, relaxed); V = 24.54 Å³ per atom; size of the total moment = 0.0 μB per formula unit; symmetry = No. 6; formation energy from the elements = 0.33 eV per atom
1.0
5.291 0.000 -0.119
0.000 4.548 0.000
-1.572 0.000 6.153
Ba Mo Rh
2 2 2
Direct
0.402 0.500 0.191
0.895 0.000 0.095
0.740 0.000 0.589
0.045 0.500 0.604
0.598 0.500 0.715
0.273 0.000 0.657

BaMo2Rh (PBE-GGA, relaxed); V = 22.72 Å³ per atom; size of the total moment = 0.0 μB per formula unit; symmetry = No. 123; formation energy from the elements = 0.65 eV per atom
1.0
3.425 0.000 0.000
0.000 3.425 0.000
0.000 0.000 7.746
Ba Mo Rh
1 2 1
Direct
0.500 0.500 0.750
0.000 0.000 0.101
0.000 0.000 0.399
0.500 0.500 0.250

BaMoRh (PBE-GGA, relaxed); V = 26.78 Å³ per atom; size of the total moment = 3.7 μB per formula unit; symmetry = No. 216; formation energy from the elements = 1.81 eV per atom
1.0
-4.433 -0.130 1.946
-1.096 -3.366 3.306
-0.652 1.272 4.628
Ba Mo Rh
1 1 1
Direct
0.750 0.750 0.750
0.000 0.000 0.000
0.500 0.500 0.500

BaMo2Rh (PBE-GGA, relaxed); V = 21.12 Å³ per atom; size of the total moment = 0.0 μB per formula unit; symmetry = No. 25; formation energy from the elements = 0.49 eV per atom
1.0
3.243 0.000 0.000
0.000 3.289 0.000
0.000 0.000 7.920
Ba Mo Rh
1 2 1
Direct
0.500 0.500 0.741
0.000 0.000 0.082
0.500 0.500 0.241
0.000 0.000 0.436

BaMo2Rh (PBE-GGA, relaxed); V = 24.10 Å³ per atom; size of the total moment = 0.0 μB per formula unit; symmetry = No. 10; formation energy from the elements = 0.72 eV per atom
1.0
4.820 0.000 0.000
0.000 3.242 0.002
0.000 1.565 6.172
Ba Mo Rh
1 2 1
Direct
0.500 0.750 0.750
0.000 0.050 0.112
0.000 0.450 0.388
0.500 0.250 0.250

BaMoRh (PBE-GGA, relaxed); V = 27.97 Å³ per atom; size of the total moment = 0.0 μB per formula unit; symmetry = No. 1; formation energy from the elements = 0.25 eV per atom
1.0
-2.180 -3.790 -0.060
3.825 -2.229 0.554
-0.613 0.193 8.591
Ba Mo Rh
2 2 2
Direct
0.155 0.173 0.004
0.656 0.695 0.644
0.159 0.261 0.455
0.654 0.136 0.314
0.655 0.618 0.166
0.154 0.742 0.326